Material: CsNa2PaCl8
Method: DFT, GGA-PBE
State: optimized geometry

Summary:
Crystal system = triclinic
Calculated volume = 38.42 A^3/atom
Space group = P-1
Total DFT energy (no corrections) = -4.15 eV/atom

Geometry as POSCAR:
```
CsNa2PaCl8
1.0
6.006 -0.077 0.642
-0.143 7.548 1.715
0.710 2.274 10.772
Cl Cs Na Pa
8 1 2 1
Direct
0.743 0.707 0.047
0.508 0.274 0.462
0.257 0.293 0.953
0.858 0.207 0.779
0.492 0.726 0.538
0.298 0.909 0.851
0.702 0.091 0.149
0.142 0.793 0.221
0.000 0.000 0.500
0.450 0.352 0.676
0.550 0.648 0.324
0.000 0.000 0.000
```